No. 1
Below is a relaxed structure of Tb3Al2Cu6, with properties calculated at the PBE level.

Properties
Its formation energy is -0.3289 eV per atom. The calculation puts the density of states at the Fermi level at 13.83 states/eV/cell.

Lattice parameters (Å, degrees): 7.943 7.943 7.943 109.47 109.47 109.47
Sites, in units of the cell vectors:
Tb (0.721, 0.000, 0.721)
Tb (0.279, 0.000, 0.279)
Tb (0.000, 0.279, 0.279)
Tb (0.000, 0.721, 0.721)
Tb (0.279, 0.279, 0.000)
Tb (0.721, 0.721, 0.000)
Al (0.000, 0.500, 0.000)
Al (0.500, 0.000, 0.000)
Al (0.000, 0.000, 0.500)
Al (0.500, 0.500, 0.500)
Cu (0.667, 0.334, 0.667)
Cu (0.667, 0.000, 0.333)
Cu (0.333, 0.000, 0.667)
Cu (0.333, 0.666, 0.333)
Cu (0.000, 0.667, 0.333)
Cu (0.666, 0.333, 0.333)
Cu (0.334, 0.667, 0.667)
Cu (0.000, 0.333, 0.667)
Cu (0.333, 0.667, 0.000)
Cu (0.667, 0.667, 0.334)
Cu (0.333, 0.333, 0.666)
Cu (0.667, 0.333, 0.000)



No. 2
Below is a relaxed structure of TbAlCu3, with properties calculated at the PBE level.

Properties
Its formation energy is -0.1963 eV per atom. The calculation puts the density of states at the Fermi level at 4.61 states/eV/cell.

Lattice parameters (Å, degrees): 5.105 9.232 6.346 136.67 113.72 90.00
Sites, in units of the cell vectors:
Tb (0.250, 0.243, 0.500)
Tb (0.750, 0.757, 0.500)
Al (0.000, 0.500, 0.000)
Al (0.500, 0.000, 0.000)
Cu (0.806, 0.306, 0.112)
Cu (0.306, 0.306, 0.112)
Cu (0.694, 0.694, 0.888)
Cu (0.194, 0.694, 0.888)
Cu (0.250, 0.934, 0.500)
Cu (0.750, 0.066, 0.500)



No. 3
Below is a relaxed structure of TbAl2Cu3, with properties calculated at the PBE level.

Properties
Its formation energy is -0.3287 eV per atom. The calculation puts the density of states at the Fermi level at 5.33 states/eV/cell.

Lattice parameters (Å, degrees): 5.329 6.174 6.174 101.66 90.00 90.00
Sites, in units of the cell vectors:
Tb (0.250, 0.323, 0.323)
Tb (0.750, 0.677, 0.677)
Al (0.500, 0.786, 0.214)
Al (0.000, 0.786, 0.214)
Al (0.000, 0.214, 0.786)
Al (0.500, 0.214, 0.786)
Cu (0.750, 0.449, 0.131)
Cu (0.750, 0.131, 0.449)
Cu (0.250, 0.551, 0.869)
Cu (0.750, 0.050, 0.050)
Cu (0.250, 0.950, 0.950)
Cu (0.250, 0.869, 0.551)



No. 4
Below is a relaxed structure of Tb6AlCu2, with properties calculated at the PBE level.

Properties
Its formation energy is -0.1943 eV per atom. The calculation puts the density of states at the Fermi level at 15.71 states/eV/cell.

Lattice parameters (Å, degrees): 8.487 8.487 8.487 106.33 109.31 112.84
Sites, in units of the cell vectors:
Tb (0.540, 0.722, 0.818)
Tb (0.460, 0.278, 0.182)
Tb (0.096, 0.278, 0.818)
Tb (0.904, 0.722, 0.182)
Tb (0.808, 0.759, 0.567)
Tb (0.192, 0.241, 0.433)
Tb (0.192, 0.759, 0.951)
Tb (0.808, 0.241, 0.049)
Tb (0.697, 0.373, 0.676)
Tb (0.303, 0.627, 0.324)
Tb (0.303, 0.979, 0.676)
Tb (0.697, 0.021, 0.324)
Al (0.000, 0.500, 0.500)
Al (0.000, 0.000, 0.000)
Cu (0.500, 0.380, 0.880)
Cu (0.500, 0.620, 0.120)
Cu (0.661, 0.000, 0.661)
Cu (0.339, 0.000, 0.339)



No. 5
Below is a relaxed structure of Tb2AlCu6, with properties calculated at the PBE level.

Properties
Its formation energy is -0.2396 eV per atom. The calculation puts the density of states at the Fermi level at 5.41 states/eV/cell.

Lattice parameters (Å, degrees): 5.593 5.518 5.518 120.00 89.99 90.00
Sites, in units of the cell vectors:
Tb (0.845, 0.667, 0.333)
Tb (0.155, 0.333, 0.667)
Al (0.000, 0.000, 0.000)
Cu (0.339, 0.360, 0.180)
Cu (0.339, 0.820, 0.640)
Cu (0.339, 0.820, 0.180)
Cu (0.661, 0.640, 0.820)
Cu (0.661, 0.180, 0.360)
Cu (0.661, 0.180, 0.820)



No. 6
Below is a relaxed structure of TbThAlCu, with properties calculated at the PBE level.

Properties
Its formation energy is -0.1742 eV per atom. The calculation puts the density of states at the Fermi level at 5.21 states/eV/cell.

Lattice parameters (Å, degrees): 5.127 5.127 5.127 60.00 60.00 60.00
Sites, in units of the cell vectors:
Tb (0.000, 0.000, 0.000)
Cu (0.250, 0.250, 0.250)
Th (0.500, 0.500, 0.500)
Al (0.750, 0.750, 0.750)



No. 7
Below is a relaxed structure of Tb2Th2Al4Cu, with properties calculated at the PBE level.

Properties
Its formation energy is -0.1665 eV per atom. The calculation puts the density of states at the Fermi level at 9.06 states/eV/cell.

Lattice parameters (Å, degrees): 6.622 6.622 6.622 96.06 116.56 116.56
Sites, in units of the cell vectors:
Tb (0.000, 0.694, 0.694)
Tb (0.000, 0.306, 0.306)
Th (0.500, 0.750, 0.250)
Th (0.500, 0.250, 0.750)
Al (0.000, 0.761, 0.239)
Al (0.522, 0.761, 0.761)
Al (0.000, 0.239, 0.761)
Al (0.478, 0.239, 0.239)
Cu (0.000, 0.000, 0.000)



No. 8
Below is a relaxed structure of TbTmAlCu, with properties calculated at the PBE level.

Properties
Its formation energy is -0.3297 eV per atom. The calculation puts the density of states at the Fermi level at 2.70 states/eV/cell.

Lattice parameters (Å, degrees): 3.454 3.454 7.346 90.00 90.00 90.00
Sites, in units of the cell vectors:
Tb (0.000, 0.000, 0.368)
Tm (0.000, 0.000, 0.839)
Al (0.500, 0.500, 0.099)
Cu (0.500, 0.500, 0.622)



No. 9
Below is a relaxed structure of TbTmAlCu, with properties calculated at the PBE level.

Properties
Its formation energy is -0.2894 eV per atom. The calculation puts the density of states at the Fermi level at 3.87 states/eV/cell.

Lattice parameters (Å, degrees): 5.019 5.019 5.019 60.00 60.00 60.00
Sites, in units of the cell vectors:
Tm (0.500, 0.500, 0.500)
Tb (0.000, 0.000, 0.000)
Al (0.750, 0.750, 0.750)
Cu (0.250, 0.250, 0.250)



No. 10
Below is a relaxed structure of Tb2AlZn4Cu3, with properties calculated at the PBE level.

Properties
Its formation energy is -0.2945 eV per atom. The calculation puts the density of states at the Fermi level at 3.60 states/eV/cell.

Lattice parameters (Å, degrees): 3.967 3.967 11.137 90.00 90.00 90.00
Sites, in units of the cell vectors:
Tb (0.500, 0.000, 0.245)
Tb (0.000, 0.500, 0.755)
Al (0.500, 0.500, 0.500)
Zn (0.500, 0.500, 0.000)
Zn (0.000, 0.000, 0.000)
Zn (0.500, 0.000, 0.643)
Zn (0.000, 0.500, 0.357)
Cu (0.000, 0.000, 0.500)
Cu (0.500, 0.000, 0.860)
Cu (0.000, 0.500, 0.140)



No. 11
Below is a relaxed structure of TbAl3ZnCu, with properties calculated at the PBE level.

Properties
Its formation energy is -0.1384 eV per atom. The calculation puts the density of states at the Fermi level at 5.12 states/eV/cell.

Lattice parameters (Å, degrees): 5.735 6.127 6.994 115.98 90.00 90.00
Sites, in units of the cell vectors:
Tb (0.750, 0.294, 0.587)
Tb (0.250, 0.706, 0.413)
Al (0.250, 0.136, 0.272)
Al (0.000, 0.289, 0.000)
Al (0.500, 0.711, 0.000)
Al (0.500, 0.289, 0.000)
Al (0.000, 0.711, 0.000)
Al (0.750, 0.864, 0.728)
Zn (0.250, 0.346, 0.691)
Zn (0.750, 0.654, 0.309)
Cu (0.250, 0.922, 0.845)
Cu (0.750, 0.078, 0.155)



No. 12
Below is a relaxed structure of Tb2Al3Zn4Cu, with properties calculated at the PBE level.

Properties
Its formation energy is -0.3287 eV per atom. The calculation puts the density of states at the Fermi level at 5.24 states/eV/cell.

Lattice parameters (Å, degrees): 4.175 4.175 10.567 90.00 90.00 90.00
Sites, in units of the cell vectors:
Tb (0.500, 0.000, 0.254)
Tb (0.000, 0.500, 0.746)
Al (0.000, 0.000, 0.500)
Al (0.500, 0.000, 0.861)
Al (0.000, 0.500, 0.139)
Zn (0.500, 0.500, 0.000)
Zn (0.000, 0.000, 0.000)
Zn (0.500, 0.000, 0.631)
Zn (0.000, 0.500, 0.369)
Cu (0.500, 0.500, 0.500)